Entry 1:
# ErMgTeO6

A relaxed ErMgTeO6 crystal (PBE-GGA, Alexandria via LeMat-Bulk).

Cell and atoms, written as CIF:
```
data_ErMgTeO6
_chemical_formula_sum 'Er2 Mg2 Te2 O12'
_symmetry_space_group_name_H-M 'P -3 1 c'
_symmetry_Int_Tables_number 163
_symmetry_space_group_name_Hall '-P 3 2c'
_cell_length_a 5.2905
_cell_length_b 5.2905
_cell_length_c 9.4905
_cell_angle_alpha 90.00
_cell_angle_beta 90.00
_cell_angle_gamma 120.00
loop_
_atom_site_label
_atom_site_type_symbol
_atom_site_fract_x
_atom_site_fract_y
_atom_site_fract_z
_atom_site_occupancy
Er1 Er 0.0000 0.0000 0.0000 1
Mg1 Mg 0.3333 0.6667 0.2500 1
Te1 Te 0.3333 0.6667 0.7500 1
O1 O 0.0227 0.3638 0.6370 1
```

The energy relative to the elements, uncorrected is -1758 kJ/mol of formula units. As for the total magnetization: 1.03 μB per formula unit. The density of states at the Fermi level comes out at 9.50 states/eV/cell. The total energy is -6.36 eV/atom.

***

Entry 2:
# MgSc4Cd5

A relaxed MgSc4Cd5 crystal (PBE-GGA, Alexandria via LeMat-Bulk).

Cell and atoms, written as CIF:
```
data_MgSc4Cd5
_chemical_formula_sum 'Mg1 Sc4 Cd5'
_symmetry_space_group_name_H-M 'P 4/m m m'
_symmetry_Int_Tables_number 123
_symmetry_space_group_name_Hall '-P 4 2'
_cell_length_a 3.518
_cell_length_b 3.518
_cell_length_c 17.754
_cell_angle_alpha 90.00
_cell_angle_beta 90.00
_cell_angle_gamma 90.00
loop_
_atom_site_label
_atom_site_type_symbol
_atom_site_fract_x
_atom_site_fract_y
_atom_site_fract_z
_atom_site_occupancy
Mg1 Mg 0.000 0.000 0.000 1
Sc1 Sc 0.000 0.000 0.199 1
Sc2 Sc 0.000 0.000 0.400 1
Cd1 Cd 0.500 0.500 0.100 1
Cd2 Cd 0.500 0.500 0.300 1
Cd3 Cd 0.500 0.500 0.500 1
```

As for the total magnetization: 0.00 μB per formula unit. The calculation puts the calculated formation energy at -0.26 eV per atom. The density of states at the Fermi level comes out at 7.84 states/eV/cell. The total energy is -3.41 eV/atom.

***

Entry 3:
# LuTh2Ga

A relaxed LuTh2Ga crystal (PBE-GGA, Alexandria via LeMat-Bulk).

Cell and atoms, written as CIF:
```
data_LuTh2Ga
_chemical_formula_sum 'Lu3 Th6 Ga3'
_symmetry_space_group_name_H-M 'R -3 m'
_symmetry_Int_Tables_number 166
_symmetry_space_group_name_Hall '-R 3 2"'
_cell_length_a 3.4395
_cell_length_b 3.4395
_cell_length_c 35.9353
_cell_angle_alpha 90.00
_cell_angle_beta 90.00
_cell_angle_gamma 120.00
loop_
_atom_site_label
_atom_site_type_symbol
_atom_site_fract_x
_atom_site_fract_y
_atom_site_fract_z
_atom_site_occupancy
Lu1 Lu 0.0000 0.0000 0.0000 1
Th1 Th 0.0000 0.0000 0.4143 1
Ga1 Ga 0.0000 0.0000 0.5000 1
```

As for the total magnetization: 0.00 μB per formula unit. The calculation puts the calculated formation energy at 0.23 eV per atom. The density of states at the Fermi level comes out at 15.05 states/eV/cell. The total energy is -5.37 eV/atom.

***

Number 1: theoretical density 5.99 g/cm³. Number 2: theoretical density 5.79 g/cm³. Number 3: theoretical density 9.59 g/cm³.